# KTc2Ni | Alexandria | SCAN | PBEsol geometry
data_KTc2Ni
_chemical_formula_sum 'K1 Tc2 Ni1'
_cell_length_a 3.603
_cell_length_b 3.603
_cell_length_c 4.946
_cell_angle_alpha 90.00
_cell_angle_beta 90.00
_cell_angle_gamma 90.00
_symmetry_space_group_name_H-M 'P 4/m m m'
_symmetry_Int_Tables_number 123
_symmetry_space_group_name_Hall '-P 4 2'
loop_
_atom_site_label
_atom_site_fract_x
_atom_site_fract_y
_atom_site_fract_z
K1 0.000 0.000 0.000
Tc1 0.000 0.500 0.500
Ni1 0.500 0.500 0.000
# Magnetization ... 0.0 μB/f.u.
# Crystal system ... tetragonal
# Offset from the most stable computed form ... 721 meV/atom
# ΔE_f ... 1478 meV/atom